No. 1
76
Lattice="25.637 0.000 0.000 0.000 4.329 0.000 0.000 0.000 6.643" Properties=species:S:1:pos:R:3 comment="PBE GdBe2B5O11, optimized geometry" e_tot_ev_per_cell=-604.6 pbc="T T T"
Gd 2.059 0.601 0.000
Gd 10.759 2.765 3.321
Gd 14.878 1.563 0.000
Gd 23.578 3.728 3.321
Be 5.291 1.413 5.698
Be 5.358 3.569 0.540
Be 7.460 1.405 3.861
Be 7.527 3.578 2.377
Be 18.110 0.751 5.698
Be 18.177 2.924 0.540
Be 20.278 0.760 3.861
Be 20.346 2.915 2.377
B 0.073 1.995 3.923
B 1.473 4.212 3.782
B 3.331 3.683 2.248
B 3.353 2.685 4.444
B 6.368 3.516 4.764
B 6.450 1.352 1.442
B 9.465 0.520 1.123
B 9.488 1.519 5.569
B 11.346 2.047 0.461
B 12.745 4.159 0.602
B 12.891 0.169 3.923
B 14.291 2.282 3.782
B 16.149 2.810 2.248
B 16.171 3.809 4.444
B 19.187 2.977 4.764
B 19.269 0.813 1.442
B 22.284 1.644 1.123
B 22.306 0.646 5.569
B 24.164 0.117 0.461
B 25.564 2.334 0.602
O 0.262 3.367 3.697
O 1.128 1.197 4.330
O 1.194 2.745 0.394
O 2.144 0.038 2.490
O 2.391 3.634 4.769
O 3.753 1.790 5.372
O 3.867 2.772 3.148
O 3.876 3.943 1.035
O 5.548 4.163 5.659
O 5.638 2.001 0.558
O 6.355 2.148 4.756
O 6.463 4.312 1.434
O 7.181 4.165 3.880
O 7.271 1.998 2.338
O 8.951 0.608 6.469
O 8.943 1.779 4.357
O 9.065 3.954 2.051
O 10.427 1.470 1.447
O 10.674 2.203 5.811
O 11.624 0.580 3.716
O 11.690 3.362 1.009
O 12.556 1.203 0.376
O 13.081 3.126 3.697
O 13.946 0.967 4.330
O 14.013 3.748 0.394
O 14.963 2.126 2.490
O 15.210 2.859 4.769
O 16.572 0.375 5.372
O 16.694 2.550 1.035
O 16.686 3.721 3.148
O 18.366 2.330 5.659
O 18.456 0.164 0.558
O 19.174 0.017 4.756
O 19.282 2.181 1.434
O 19.999 2.328 3.880
O 20.089 0.166 2.338
O 21.761 0.385 4.357
O 21.770 1.557 6.469
O 21.883 2.539 2.051
O 23.245 0.695 1.447
O 23.493 4.290 5.811
O 24.442 1.584 3.716
O 24.509 3.132 1.009
O 25.374 0.961 0.376

=====

No. 2
4
Lattice="0.000 2.865 2.865 2.865 0.000 2.865 2.865 2.865 0.000" Properties=species:S:1:pos:R:3 comment="PBE BeGeBIr, optimized geometry" e_above_lowest_polymorph_mev_per_atom=5 pbc="T T T"
Be 0.000 0.000 0.000
Ge 1.432 1.432 1.432
B 4.297 4.297 4.297
Ir 2.865 2.865 2.865

=====

No. 3
4
Lattice="0.000 2.890 2.890 2.890 0.000 2.890 2.890 2.890 0.000" Properties=species:S:1:pos:R:3 comment="PBE BeGeBIr, optimized geometry" e_above_lowest_polymorph_mev_per_atom=156 pbc="T T T"
Be 0.000 0.000 0.000
Ge 2.890 2.890 2.890
B 1.445 1.445 1.445
Ir 4.336 4.336 4.336

=====

No. 4
4
Lattice="0.000 2.831 2.831 2.831 0.000 2.831 2.831 2.831 0.000" Properties=species:S:1:pos:R:3 comment="PBE BeGeBIr, optimized geometry" e_above_lowest_polymorph_mev_per_atom=0 pbc="T T T"
Be 0.000 0.000 0.000
Ge 1.415 1.415 1.415
B 2.831 2.831 2.831
Ir 4.246 4.246 4.246

=====

No. 5
3
Lattice="0.000 2.784 2.784 2.784 0.000 2.784 2.784 2.784 0.000" Properties=species:S:1:pos:R:3 comment="PBE HfBeB, optimized geometry" e_tot_ev_per_cell=-18.2 pbc="T T T"
Hf 0.000 0.000 0.000
Be 1.392 1.392 1.392
B 4.176 4.176 4.176

=====

No. 6
4
Lattice="0.000 3.097 3.097 3.097 0.000 3.097 3.097 3.097 0.000" Properties=species:S:1:pos:R:3 comment="PBE Hf2BeB, optimized geometry" e_tot_ev_per_cell=-26.3 pbc="T T T"
Hf 0.000 0.000 0.000
Hf 1.549 1.549 1.549
Be 4.646 4.646 4.646
B 3.097 3.097 3.097

=====

No. 7
24
Lattice="5.693 0.000 0.000 0.000 11.033 0.000 0.000 0.000 3.237" Properties=species:S:1:pos:R:3 comment="PBE HfBeB4, optimized geometry" e_above_lowest_polymorph_mev_per_atom=0 pbc="T T T"
Hf 0.728 1.670 0.000
Hf 2.118 7.187 0.000
Hf 3.575 3.846 0.000
Hf 4.964 9.363 0.000
Be 0.749 4.569 0.000
Be 2.098 10.086 0.000
Be 3.595 0.948 0.000
Be 4.944 6.464 0.000
B 0.150 7.650 1.618
B 0.651 6.036 1.618
B 0.762 10.681 1.618
B 1.216 8.982 1.618
B 1.631 3.465 1.618
B 2.085 5.165 1.618
B 2.195 0.520 1.618
B 2.696 2.133 1.618
B 2.997 8.900 1.618
B 3.498 10.514 1.618
B 3.608 5.869 1.618
B 4.062 7.568 1.618
B 4.477 2.051 1.618
B 4.931 0.352 1.618
B 5.042 4.997 1.618
B 5.543 3.383 1.618

=====

No. 8
6
Lattice="3.248 0.000 0.000 0.000 3.449 0.000 0.000 0.000 5.651" Properties=species:S:1:pos:R:3 comment="PBE Hf2BeB3, optimized geometry" e_tot_ev_per_cell=-48.7 pbc="T T T"
Hf 0.000 0.000 0.000
Hf 1.624 0.000 2.776
Be 0.000 1.725 3.757
B 0.000 1.725 1.812
B 1.624 1.725 0.900
B 1.624 1.725 4.752

=====

No. 9
6
Lattice="3.045 0.000 0.000 -1.522 2.637 0.000 0.000 0.000 6.498" Properties=species:S:1:pos:R:3 comment="PBE HfBeB4, optimized geometry" e_above_lowest_polymorph_mev_per_atom=158 pbc="T T T"
Hf 0.000 0.000 0.000
Be 0.000 0.000 3.249
B 0.000 1.758 1.777
B 0.000 1.758 4.721
B 1.522 0.879 1.777
B 1.522 0.879 4.721

=====

No. 10
4
Lattice="0.000 2.791 2.791 2.791 0.000 2.791 2.791 2.791 0.000" Properties=species:S:1:pos:R:3 comment="PBE HfBe2B, optimized geometry" e_tot_ev_per_cell=-23.0 pbc="T T T"
Hf 0.000 0.000 0.000
Be 1.395 1.395 1.395
Be 2.791 2.791 2.791
B 4.186 4.186 4.186

=====

No. 11
6
Lattice="-1.543 2.537 3.480 1.543 -2.537 3.480 1.543 2.537 -3.480" Properties=species:S:1:pos:R:3 comment="PBE HfBeB4, optimized geometry" e_above_lowest_polymorph_mev_per_atom=187 pbc="T T T"
Hf 0.000 0.000 0.000
Be 0.000 0.000 3.480
B 1.543 -0.882 1.671
B 1.543 0.882 1.671
B 0.000 1.655 1.809
B 0.000 3.419 1.809

=====

No. 12
4
Lattice="0.000 2.881 2.881 2.881 0.000 2.881 2.881 2.881 0.000" Properties=species:S:1:pos:R:3 comment="PBE HfBeBIr, optimized geometry" e_above_lowest_polymorph_mev_per_atom=0 pbc="T T T"
Hf 0.000 0.000 0.000
Be 4.322 4.322 4.322
B 1.441 1.441 1.441
Ir 2.881 2.881 2.881

=====

No. 13
4
Lattice="0.000 2.980 2.980 2.980 0.000 2.980 2.980 2.980 0.000" Properties=species:S:1:pos:R:3 comment="PBE HfBeBIr, optimized geometry" e_above_lowest_polymorph_mev_per_atom=375 pbc="T T T"
Hf 0.000 0.000 0.000
Be 2.980 2.980 2.980
B 4.470 4.470 4.470
Ir 1.490 1.490 1.490

=====

No. 14
4
Lattice="0.000 2.957 2.957 2.957 0.000 2.957 2.957 2.957 0.000" Properties=species:S:1:pos:R:3 comment="PBE HfBeBIr, optimized geometry" e_above_lowest_polymorph_mev_per_atom=430 pbc="T T T"
Hf 0.000 0.000 0.000
Be 4.435 4.435 4.435
B 2.957 2.957 2.957
Ir 1.478 1.478 1.478

=====

No. 15
4
Lattice="0.000 2.818 2.818 2.818 0.000 2.818 2.818 2.818 0.000" Properties=species:S:1:pos:R:3 comment="PBE HfBeNiB, optimized geometry" e_above_lowest_polymorph_mev_per_atom=0 pbc="T T T"
Hf 0.000 0.000 0.000
Be 4.227 4.227 4.227
Ni 2.818 2.818 2.818
B 1.409 1.409 1.409

=====

No. 16
4
Lattice="0.000 2.832 2.832 2.832 0.000 2.832 2.832 2.832 0.000" Properties=species:S:1:pos:R:3 comment="PBE HfBeNiB, optimized geometry" e_above_lowest_polymorph_mev_per_atom=208 pbc="T T T"
Hf 0.000 0.000 0.000
Be 1.416 1.416 1.416
Ni 4.248 4.248 4.248
B 2.832 2.832 2.832

=====

No. 17
4
Lattice="0.000 3.233 3.233 3.233 0.000 3.233 3.233 3.233 0.000" Properties=species:S:1:pos:R:3 comment="PBE BeHg2B, optimized geometry" e_tot_ev_per_cell=-5.6 pbc="T T T"
Be 0.000 0.000 0.000
Hg 1.617 1.617 1.617
Hg 3.233 3.233 3.233
B 4.850 4.850 4.850

=====

No. 18
4
Lattice="0.000 2.868 2.868 2.868 0.000 2.868 2.868 2.868 0.000" Properties=species:S:1:pos:R:3 comment="PBE BeHgB2, optimized geometry" e_tot_ev_per_cell=-10.5 pbc="T T T"
Be 0.000 0.000 0.000
Hg 1.434 1.434 1.434
B 2.868 2.868 2.868
B 4.302 4.302 4.302

=====

No. 19
4
Lattice="0.000 2.888 2.888 2.888 0.000 2.888 2.888 2.888 0.000" Properties=species:S:1:pos:R:3 comment="PBE BeNiHgB, optimized geometry" e_above_lowest_polymorph_mev_per_atom=136 pbc="T T T"
Be 0.000 0.000 0.000
Ni 2.888 2.888 2.888
Hg 4.331 4.331 4.331
B 1.444 1.444 1.444

=====

No. 20
4
Lattice="0.000 2.829 2.829 2.829 0.000 2.829 2.829 2.829 0.000" Properties=species:S:1:pos:R:3 comment="PBE BeNiHgB, optimized geometry" e_above_lowest_polymorph_mev_per_atom=0 pbc="T T T"
Be 0.000 0.000 0.000
Ni 4.243 4.243 4.243
Hg 1.414 1.414 1.414
B 2.829 2.829 2.829